No. 1
A relaxed structure of SmGa2Sn, computed with GGA-PBE.

Cell lengths 4.6702, 4.6702, 15.1234 Å; angles 90.00, 90.00, 120.00 degrees
Space group R-3m (No. 166, hexagonal axes)
One atom of each set of equivalent atoms:
Sm: 0.0000 0.0000 0.0000 [3 per cell]
Ga: 0.0000 0.0000 0.2274 [6 per cell]
Sn: 0.0000 0.0000 0.5000 [3 per cell]

Results
The calculated density is 7.1 g/cm³. The density of states at the Fermi level is 9.418 states/eV per cell. As for the energy above the most stable polymorph in this dataset: 214 meV per atom.

=====

No. 2
A relaxed structure of SmGaSn4, computed with GGA-PBE.

Cell lengths 8.706, 8.706, 8.706 Å; angles 90.00, 90.00, 90.00 degrees
Space group F-43m (No. 216)
One atom of each set of equivalent atoms:
Sm: 0.000 0.000 0.000 [4 per cell]
Ga: 0.250 0.250 0.250 [4 per cell]
Sn: 0.125 0.125 0.625 [16 per cell]

Results
The calculated density is 7.0 g/cm³. The density of states at the Fermi level is 13.776 states/eV per cell. For the total energy, the calculation gives -4.0860 eV/atom.

=====

No. 3
A relaxed structure of Sm2GaSn, computed with GGA-PBE.

Cell lengths 4.955, 4.955, 4.274 Å; angles 90.00, 90.00, 90.00 degrees
Space group P4/mmm (No. 123)
One atom of each set of equivalent atoms:
Sm: 0.000 0.500 0.000 [2 per cell]
Ga: 0.000 0.000 0.500 [1 per cell]
Sn: 0.500 0.500 0.500 [1 per cell]

Results
The calculated density is 7.7 g/cm³. The density of states at the Fermi level is 2.391 states/eV per cell. For the total energy, the calculation gives -4.7186 eV/atom.

=====

No. 4
A relaxed structure of Sm3GaSn3, computed with GGA-PBE.

Cell lengths 9.0313, 9.0313, 6.1552 Å; angles 90.00, 90.00, 120.00 degrees
Space group P6_3/m (No. 176)
One atom of each set of equivalent atoms:
Sm: 0.0812 0.6733 0.2500 [6 per cell]
Ga: 0.3333 0.6667 0.7500 [2 per cell]
Sn: 0.0688 0.7365 0.7500 [6 per cell]

Results
The calculated density is 6.7 g/cm³. The density of states at the Fermi level is 10.165 states/eV per cell. As for the energy above the most stable polymorph in this dataset: 271 meV per atom.

=====

Question: calculated density of number 4 (Sm3GaSn3)?
Answer: 6.7 g/cm³

=====

Copy entry 4 word for word.
A relaxed structure of Sm3GaSn3, computed with GGA-PBE.

Cell lengths 9.0313, 9.0313, 6.1552 Å; angles 90.00, 90.00, 120.00 degrees
Space group P6_3/m (No. 176)
One atom of each set of equivalent atoms:
Sm: 0.0812 0.6733 0.2500 [6 per cell]
Ga: 0.3333 0.6667 0.7500 [2 per cell]
Sn: 0.0688 0.7365 0.7500 [6 per cell]

Results
The calculated density is 6.7 g/cm³. The density of states at the Fermi level is 10.165 states/eV per cell. As for the energy above the most stable polymorph in this dataset: 271 meV per atom.

=====

Question: Number 1 is which compound?
Answer: SmGa2Sn